Entry 1:
A plane-wave DFT calculation with GGA-PBEsol was carried out for an optimized crystal structure of InNiP2S.

Computed properties:
The space group is P4/mmm, No. 123. The formation energy (no corrections) comes out at 1537 meV per atom.

Unit cell a=4.905 b=4.905 c=4.887 alpha=90.00 beta=90.00 gamma=90.00
Fractional coordinates of all 5 atoms:
In 0.000 0.000 0.000
Ni 0.500 0.500 0.500
P 0.000 0.500 0.000
P 0.500 0.000 0.000
S 0.000 0.000 0.500

***

Entry 2:
A plane-wave DFT calculation with GGA-PBEsol was carried out for an optimized crystal structure of SrInNi2Pb.

Computed properties:
The space group is P4/mmm, No. 123. The calculated formation energy is 1.3135 eV per atom.

Unit cell a=4.836 b=4.836 c=5.791 alpha=90.00 beta=90.00 gamma=90.00
Fractional coordinates of all 5 atoms:
Sr 0.000 0.000 0.000
In 0.000 0.000 0.500
Ni 0.000 0.500 0.000
Ni 0.500 0.000 0.000
Pb 0.500 0.500 0.500

***

Entry 3:
A plane-wave DFT calculation with GGA-PBEsol was carried out for an optimized crystal structure of In2NiPd.

Computed properties:
The space group is Fm-3m, No. 225. The calculated formation energy is -0.3032 eV per atom.

Unit cell a=4.500 b=4.500 c=4.500 alpha=60.00 beta=60.00 gamma=60.00
Fractional coordinates of all 4 atoms:
In 0.250 0.250 0.250
In 0.750 0.750 0.750
Ni 0.000 0.000 0.000
Pd 0.500 0.500 0.500

***

Entry 4:
A plane-wave DFT calculation with GGA-PBEsol was carried out for an optimized crystal structure of In3NiPd.

Computed properties:
The space group is Pm-3m, No. 221. The calculated formation energy is 0.4825 eV per atom.

Unit cell a=4.999 b=4.999 c=4.999 alpha=90.00 beta=90.00 gamma=90.00
Fractional coordinates of all 5 atoms:
In 0.000 0.000 0.500
In 0.000 0.500 0.000
In 0.500 0.000 0.000
Ni 0.500 0.500 0.500
Pd 0.000 0.000 0.000

***

no.,E_tot (eV/atom)
1,-3.48
2,-2.91
3,-4.82
4,-3.73